Entry 1:
DFT (SCAN) results for ZrCd2 at its PBEsol-relaxed geometry.

As for the formation enthalpy at 0 K: -0.15 eV/atom.

a b c (Å): 6.172 4.422 8.983
angles (deg): 90.00 90.00 90.00
Sites, in units of the cell vectors:
Zr: 0.142 0.250 0.080
Zr: 0.358 0.750 0.580
Zr: 0.642 0.250 0.420
Zr: 0.858 0.750 0.920
Cd: 0.088 0.250 0.742
Cd: 0.142 0.250 0.414
Cd: 0.358 0.750 0.914
Cd: 0.412 0.750 0.242
Cd: 0.588 0.250 0.758
Cd: 0.642 0.250 0.086
Cd: 0.858 0.750 0.586
Cd: 0.912 0.750 0.258

Entry 2:
DFT (SCAN) results for Zr4Cd at its PBEsol-relaxed geometry.

As for the formation enthalpy at 0 K: -0.07 eV/atom.

a b c (Å): 7.112 7.112 4.245
angles (deg): 90.00 90.00 90.00
Sites, in units of the cell vectors:
Zr: 0.112 0.308 0.000
Zr: 0.192 0.612 0.500
Zr: 0.308 0.888 0.000
Zr: 0.388 0.192 0.500
Zr: 0.612 0.808 0.500
Zr: 0.692 0.112 0.000
Zr: 0.808 0.388 0.500
Zr: 0.888 0.692 0.000
Cd: 0.000 0.000 0.500
Cd: 0.500 0.500 0.000

Entry 3:
DFT (SCAN) results for ZrCd at its PBEsol-relaxed geometry.

As for the formation enthalpy at 0 K: -0.06 eV/atom.

a b c (Å): 3.011 3.011 15.851
angles (deg): 90.00 90.00 120.00
Sites, in units of the cell vectors:
Zr: 0.000 0.000 0.000
Zr: 0.333 0.667 0.667
Zr: 0.667 0.333 0.333
Cd: 0.000 0.000 0.500
Cd: 0.333 0.667 0.167
Cd: 0.667 0.333 0.833

Entry 4:
DFT (SCAN) results for Zr7Cd at its PBEsol-relaxed geometry.

As for the formation enthalpy at 0 K: 0.03 eV/atom.

a b c (Å): 6.262 6.262 6.262
angles (deg): 60.00 60.00 60.00
Sites, in units of the cell vectors:
Zr: 0.000 0.000 0.000
Zr: 0.000 0.000 0.500
Zr: 0.000 0.500 0.000
Zr: 0.000 0.500 0.500
Zr: 0.500 0.000 0.000
Zr: 0.500 0.000 0.500
Zr: 0.500 0.500 0.000
Cd: 0.500 0.500 0.500

Entry 5:
DFT (SCAN) results for ZrCd at its PBEsol-relaxed geometry.

As for the formation enthalpy at 0 K: -0.13 eV/atom.

a b c (Å): 9.908 8.555 5.907
angles (deg): 90.00 90.00 90.00
Sites, in units of the cell vectors:
Zr: 0.123 0.082 0.250
Zr: 0.123 0.418 0.750
Zr: 0.374 0.250 0.000
Zr: 0.374 0.250 0.500
Zr: 0.375 0.585 0.250
Zr: 0.375 0.915 0.750
Zr: 0.625 0.085 0.250
Zr: 0.625 0.415 0.750
Zr: 0.626 0.750 0.000
Zr: 0.626 0.750 0.500
Zr: 0.877 0.582 0.250
Zr: 0.877 0.918 0.750
Cd: 0.126 0.750 0.000
Cd: 0.126 0.750 0.500
Cd: 0.127 0.085 0.750
Cd: 0.127 0.415 0.250
Cd: 0.376 0.580 0.750
Cd: 0.376 0.920 0.250
Cd: 0.624 0.080 0.750
Cd: 0.624 0.420 0.250
Cd: 0.873 0.585 0.750
Cd: 0.873 0.915 0.250
Cd: 0.874 0.250 0.000
Cd: 0.874 0.250 0.500

Entry 6:
DFT (SCAN) results for Zr2Cd at its PBEsol-relaxed geometry.

As for the formation enthalpy at 0 K: -0.06 eV/atom.

a b c (Å): 3.206 3.206 7.457
angles (deg): 90.00 90.00 120.00
Sites, in units of the cell vectors:
Zr: 0.333 0.667 0.162
Zr: 0.667 0.333 0.838
Cd: 0.000 0.000 0.500

Entry 7:
DFT (SCAN) results for ZrCd7 at its PBEsol-relaxed geometry.

As for the formation enthalpy at 0 K: -0.05 eV/atom.

a b c (Å): 6.173 6.173 6.173
angles (deg): 60.00 60.00 60.00
Sites, in units of the cell vectors:
Zr: 0.000 0.000 0.000
Cd: 0.000 0.000 0.500
Cd: 0.000 0.500 0.000
Cd: 0.000 0.500 0.500
Cd: 0.500 0.000 0.000
Cd: 0.500 0.000 0.500
Cd: 0.500 0.500 0.000
Cd: 0.500 0.500 0.500

Entry 8:
DFT (SCAN) results for ZrCd at its PBEsol-relaxed geometry.

As for the formation enthalpy at 0 K: -0.05 eV/atom.

a b c (Å): 3.150 3.150 9.990
angles (deg): 90.00 90.00 120.00
Sites, in units of the cell vectors:
Zr: 0.333 0.667 0.376
Zr: 0.667 0.333 0.624
Cd: 0.333 0.667 0.878
Cd: 0.667 0.333 0.122

Sequential M_tot output: 0.00 0.00 0.00 0.00 0.00 0.00 0.00 0.00 μB per formula unit